<i>
Density functional theory data (PBEsol) for InSiTe2 after structural relaxation.

Properties
Its crystal system is orthorhombic.

Cell: 3.4465 3.4465 9.1809 Å, 90.00 90.00 108.65°
Closest atoms and distances in Å follow each position.
Fractional positions:
1 In 0.0000 0.0000 0.4720  2 Si 2.86, 2 Te 3.02
2 Si 0.5000 0.5000 0.2504  2 Te 2.66, 2 In 2.86
3 Te 0.0000 0.0000 0.0604  2 Si 2.66
4 Te 0.5000 0.5000 0.7172  2 In 3.02

---

<ii>
Density functional theory data (PBEsol) for InSiTe2 after structural relaxation.

Properties
Its crystal system is tetragonal.

Cell: 3.3693 3.3693 9.0209 Å, 90.00 90.00 90.00°
Closest atoms and distances in Å follow each position.
Fractional positions:
1 In 0.0000 0.0000 0.5353  4 Si 3.16, 5 Te 3.34-3.51, 4 In 3.37
2 Si 0.5000 0.5000 0.7652  4 Te 2.78
3 Te 0.0000 0.0000 0.9240  4 Si 2.78
4 Te 0.5000 0.5000 0.2755  4 In 3.34, 4 Te 3.37

---

What should be chosen as the least stable of them? Choose <i>.

---

<i>
Density functional theory data (PBEsol) for In2SiTe after structural relaxation.

Properties
Its crystal system is cubic.

Cell: 5.1178 5.1178 5.1178 Å, 60.00 60.00 60.00°
Closest atoms and distances in Å follow each position.
Fractional positions:
1 In 0.7500 0.7500 0.7500  4 Si 3.13, 4 Te 3.13
2 In 0.2500 0.2500 0.2500  4 Te 3.13, 4 Si 3.13
3 Si 0.0000 0.0000 0.0000  8 In 3.13
4 Te 0.5000 0.5000 0.5000  8 In 3.13

---

<ii>
Density functional theory data (PBEsol) for In2SiTe after structural relaxation.

Properties
Its crystal system is monoclinic.

Cell: 3.1343 5.2187 5.9110 Å, 90.00 96.96 90.00°
Closest atoms and distances in Å follow each position.
Fractional positions:
1 In 0.2005 0.0000 0.7644  2 Si 3.05, 5 In 3.13-3.22, 2 Te 3.24
2 In 0.7995 0.0000 0.2356  2 Si 3.05, 5 In 3.13-3.22, 2 Te 3.24
3 Si 0.5000 0.5000 0.0000  2 Te 2.96, 4 In 3.05, 2 Si 3.13
4 Te 0.5000 0.5000 0.5000  2 Si 2.96, 2 Te 3.13, 4 In 3.24

---

What should be chosen as the least stable of them? Choose <i>.

---

<i>
Density functional theory data (PBEsol) for TlInSi2 after structural relaxation.

Properties
Its crystal system is monoclinic.

Cell: 3.2375 5.1403 5.1403 Å, 98.68 93.77 93.77°
Closest atoms and distances in Å follow each position.
Fractional positions:
1 In 0.5000 0.0000 0.0000  8 Si 2.95-3.13, 2 In 3.24
2 Si 0.0000 0.5000 0.0000  4 Tl 2.95-3.13, 4 In 2.95-3.13, 2 Si 3.24
3 Si 0.0000 0.0000 0.5000  4 In 2.95-3.13, 4 Tl 2.95-3.13, 2 Si 3.24
4 Tl 0.5000 0.5000 0.5000  8 Si 2.95-3.13, 2 Tl 3.24

---

<ii>
Density functional theory data (PBEsol) for TlInSi2 after structural relaxation.

Properties
Its crystal system is trigonal.

Cell: 3.7348 3.7348 7.7656 Å, 76.09 76.09 60.00°
Closest atoms and distances in Å follow each position.
Fractional positions:
1 In 0.2639 0.2639 0.2084  3 Si 2.91, 3 Tl 3.23
2 Si 0.0181 0.0181 0.9456  3 Si 2.37
3 Si 0.7284 0.7284 0.8149  3 Si 2.37
4 Tl 0.4896 0.4896 0.5311  3 Si 3.02, 3 In 3.23

---

What should be chosen as the least stable of them? Choose <i>.

---

<i>
Density functional theory data (PBEsol) for TlInSn2 after structural relaxation.

Properties
Its crystal system is cubic.

Cell: 5.3046 5.3046 5.3046 Å, 60.00 60.00 60.00°
Closest atoms and distances in Å follow each position.
Fractional positions:
1 Tl 0.5000 0.5000 0.5000  8 Sn 3.25
2 Sn 0.2500 0.2500 0.2500  4 Tl 3.25, 4 In 3.25
3 Sn 0.7500 0.7500 0.7500  4 In 3.25, 4 Tl 3.25
4 In 0.0000 0.0000 0.0000  8 Sn 3.25

---

<ii>
Density functional theory data (PBEsol) for TlInSn2 after structural relaxation.

Properties
Its crystal system is tetragonal.

Cell: 4.3976 4.3976 11.7196 Å, 100.81 100.81 90.00°
Closest atoms and distances in Å follow each position.
Fractional positions:
1 Tl 0.2500 0.7500 0.5000  4 In 3.11, 4 Sn 3.23
2 Tl 0.0000 0.0000 0.0000  4 In 3.11, 4 Sn 3.23
3 Sn 0.8732 0.3750 0.2500  4 Sn 3.10-3.12, 2 In 3.22, 2 Tl 3.23
4 Sn 0.3768 0.8750 0.2500  4 Sn 3.10-3.12, 2 In 3.22, 2 Tl 3.23
5 Sn 0.6250 0.6232 0.7500  4 Sn 3.10-3.12, 2 In 3.22, 2 Tl 3.23
6 Sn 0.1250 0.1268 0.7500  4 Sn 3.10-3.12, 2 In 3.22, 2 Tl 3.23
7 In 0.7500 0.2500 0.5000  4 Tl 3.11, 4 Sn 3.22
8 In 0.5000 0.5000 0.0000  4 Tl 3.11, 4 Sn 3.22

---

What should be chosen as the least stable of them? Choose <ii>.

---

<i>
Density functional theory data (PBEsol) for TlIn2Sn2 after structural relaxation.

Properties
Its crystal system is tetragonal.

Cell: 3.4452 8.8487 8.8487 Å, 90.00 90.00 90.00°
Closest atoms and distances in Å follow each position.
Fractional positions:
1 Tl 0.0000 0.0000 0.0000  4 Sn 3.40, 2 Tl 3.45, 8 In 3.77
2 Tl 0.0000 0.5000 0.5000  4 Sn 3.40, 2 Tl 3.45, 8 In 3.77
3 Sn 0.0000 0.3563 0.8563  6 In 3.08-3.14, 2 Tl 3.40
4 Sn 0.0000 0.8563 0.6437  6 In 3.08-3.14, 2 Tl 3.40
5 Sn 0.0000 0.6437 0.1437  6 In 3.08-3.14, 2 Tl 3.40
6 Sn 0.0000 0.1437 0.3563  6 In 3.08-3.14, 2 Tl 3.40
7 In 0.5000 0.1527 0.6527  6 Sn 3.08-3.14
8 In 0.5000 0.6527 0.8473  6 Sn 3.08-3.14
9 In 0.5000 0.8473 0.3473  6 Sn 3.08-3.14
10 In 0.5000 0.3473 0.1527  6 Sn 3.08-3.14

---

<ii>
Density functional theory data (PBEsol) for TlIn2Sn2 after structural relaxation.

Properties
Its crystal system is tetragonal.

Cell: 5.0886 5.0886 6.7560 Å, 112.12 112.12 90.00°
Closest atoms and distances in Å follow each position.
Fractional positions:
1 Tl 0.0000 0.0000 0.0000  8 In 3.83, 8 Sn 3.86
2 Sn 0.3781 0.3781 0.7563  1 Sn 2.79, 4 In 2.94
3 Sn 0.6219 0.6219 0.2437  1 Sn 2.79, 4 In 2.94
4 In 0.2500 0.7500 0.5000  4 Sn 2.94
5 In 0.7500 0.2500 0.5000  4 Sn 2.94

---

What should be chosen as the least stable of them? Choose <ii>.

---

<i>
Density functional theory data (PBEsol) for In2Tc after structural relaxation.

Properties
Its crystal system is trigonal.

Cell: 3.0725 3.0725 7.0330 Å, 90.00 90.00 120.00°
Closest atoms and distances in Å follow each position.
Fractional positions:
1 In 0.6667 0.3333 0.3067  3 Tc 2.79, 6 In 3.07
2 In 0.3333 0.6667 0.6933  3 Tc 2.79, 6 In 3.07
3 Tc 0.0000 0.0000 0.0000  6 In 2.79, 6 Tc 3.07

---

<ii>
Density functional theory data (PBEsol) for In2Tc after structural relaxation.

Properties
Its crystal system is tetragonal.

Cell: 2.9960 2.9960 6.7977 Å, 102.73 102.73 90.00°
Closest atoms and distances in Å follow each position.
Fractional positions:
1 In 0.3554 0.3554 0.7107  4 Tc 2.82, 4 In 3.00
2 In 0.6446 0.6446 0.2893  4 Tc 2.82, 4 In 3.00
3 Tc 0.0000 0.0000 0.0000  8 In 2.82, 4 Tc 3.00

---

<iii>
Density functional theory data (PBEsol) for In2Tc after structural relaxation.

Properties
Its crystal system is hexagonal.

Cell: 2.8042 4.7539 4.7539 Å, 120.00 90.00 90.00°
Closest atoms and distances in Å follow each position.
Fractional positions:
1 In 0.0000 0.3333 0.6667  5 In 2.74-2.80
2 In 0.0000 0.6667 0.3333  5 In 2.74-2.80
3 Tc 0.5000 0.0000 0.0000  2 Tc 2.80, 12 In 3.08

---

What should be chosen as the least stable of them? Choose <iii>.

---

<i>
Density functional theory data (PBEsol) for ZrInTc after structural relaxation.

Properties
Its crystal system is tetragonal.

Cell: 3.4299 3.4299 5.2868 Å, 108.93 108.93 90.00°
Closest atoms and distances in Å follow each position.
Fractional positions:
1 Tc 0.6760 0.6760 0.3520  4 Zr 2.76, 4 In 2.90
2 Zr 0.3168 0.3168 0.6335  4 Tc 2.76, 5 In 2.91-3.01
3 In 0.0072 0.0072 0.0145  5 Tc 2.90-3.11, 5 Zr 2.91-3.01

---

<ii>
Density functional theory data (PBEsol) for ZrInTc after structural relaxation.

Properties
Its crystal system is trigonal.

Cell: 2.9135 4.6560 4.6560 Å, 120.00 90.00 90.00°
Closest atoms and distances in Å follow each position.
Fractional positions:
1 In 0.9625 0.0000 0.0000  3 Tc 2.84, 2 In 2.91, 6 Zr 2.96-3.16
2 Tc 0.6468 0.6667 0.3333  3 Zr 2.79, 3 In 2.84, 2 Tc 2.91
3 Zr 0.3907 0.3333 0.6667  3 Tc 2.79, 2 Zr 2.91, 3 In 2.96

---

<iii>
Density functional theory data (PBEsol) for ZrInTc after structural relaxation.

Properties
Its crystal system is cubic.

Cell: 4.5397 4.5397 4.5397 Å, 60.00 60.00 60.00°
Closest atoms and distances in Å follow each position.
Fractional positions:
1 In 0.0000 0.0000 0.0000  4 Zr 2.78
2 Tc 0.5000 0.5000 0.5000  4 Zr 2.78
3 Zr 0.2500 0.2500 0.2500  4 In 2.78, 4 Tc 2.78

---

What should be chosen as the least stable of them? Choose <iii>.

---

<i>
Density functional theory data (PBEsol) for InTe2 after structural relaxation.

Properties
Its crystal system is tetragonal.

Cell: 3.7366 3.7366 6.3036 Å, 107.24 107.24 90.00°
Closest atoms and distances in Å follow each position.
Fractional positions:
1 In 0.0000 0.0000 0.0000  8 Te 3.20
2 Te 0.6584 0.6584 0.3167  4 In 3.20, 4 Te 3.37
3 Te 0.3416 0.3416 0.6833  4 In 3.20, 4 Te 3.37

---

<ii>
Density functional theory data (PBEsol) for InTe2 after structural relaxation.

Properties
Its crystal system is monoclinic.

Cell: 4.3356 4.3785 10.9095 Å, 91.06 90.00 119.68°
Closest atoms and distances in Å follow each position.
Fractional positions:
1 Te 0.8706 0.7412 0.9007  1 Te 2.90, 3 In 2.99-3.11
2 Te 0.1962 0.3924 0.6008  3 In 2.91-3.01, 2 Te 3.21
3 Te 0.8038 0.6076 0.3992  3 In 2.91-3.01, 2 Te 3.21
4 Te 0.1294 0.2588 0.0993  1 Te 2.90, 3 In 2.99-3.11
5 In 0.4782 0.9564 0.2536  6 Te 2.91-3.11
6 In 0.5218 0.0436 0.7464  6 Te 2.91-3.11

---

<iii>
Density functional theory data (PBEsol) for InTe2 after structural relaxation.

Properties
Its crystal system is orthorhombic.

Cell: 4.3079 6.1316 7.0490 Å, 90.00 107.79 90.00°
Closest atoms and distances in Å follow each position.
Fractional positions:
1 Te 0.1841 0.7500 0.3683  4 In 2.96-3.08
2 Te 0.4910 0.7500 0.9821  2 In 3.00, 2 Te 3.08
3 Te 0.5090 0.2500 0.0179  2 In 3.00, 2 Te 3.08
4 Te 0.8159 0.2500 0.6317  4 In 2.96-3.08
5 In 0.8353 0.7500 0.6707  6 Te 2.96-3.08
6 In 0.1647 0.2500 0.3293  6 Te 2.96-3.08

---

What should be chosen as the least stable of them? Choose <i>.

---

<i>
Density functional theory data (PBEsol) for Tl2InTe after structural relaxation.

Properties
Its crystal system is tetragonal.

Cell: 4.7205 4.7205 6.1896 Å, 112.42 112.42 90.00°
Closest atoms and distances in Å follow each position.
Fractional positions:
1 Tl 0.0000 0.0000 0.0000  4 In 3.34, 4 Te 3.52, 4 Tl 3.52
2 Tl 0.7500 0.2500 0.5000  4 Te 3.34, 4 In 3.52, 4 Tl 3.52
3 Te 0.2500 0.7500 0.5000  8 Tl 3.34-3.52, 4 In 3.52
4 In 0.5000 0.5000 0.0000  8 Tl 3.34-3.52, 4 Te 3.52

---

<ii>
Density functional theory data (PBEsol) for Tl2InTe after structural relaxation.

Properties
Its crystal system is tetragonal.

Cell: 4.7033 4.7033 6.1949 Å, 112.31 112.31 90.00°
Closest atoms and distances in Å follow each position.
Fractional positions:
1 Tl 0.7500 0.2500 0.5000  4 Tl 3.33, 4 Te 3.52, 4 In 3.52
2 Tl 0.2500 0.7500 0.5000  4 Tl 3.33, 4 Te 3.52, 4 In 3.52
3 Te 0.0000 0.0000 0.0000  4 In 3.33, 8 Tl 3.52
4 In 0.5000 0.5000 0.0000  4 Te 3.33, 8 Tl 3.52

---

<iii>
Density functional theory data (PBEsol) for Tl2InTe after structural relaxation.

Properties
Its crystal system is trigonal.

Cell: 4.2771 4.2771 8.1202 Å, 74.73 74.73 60.00°
Closest atoms and distances in Å follow each position.
Fractional positions:
1 In 0.5000 0.5000 0.5000  6 Tl 3.16
2 Te 0.0000 0.0000 0.0000  6 Tl 3.12
3 Tl 0.2514 0.2514 0.2458  3 Te 3.12, 3 In 3.16
4 Tl 0.7486 0.7486 0.7542  3 Te 3.12, 3 In 3.16

---

What should be chosen as the least stable of them? Choose <iii>.